An optimized crystal structure of TeAu2Br, computed with PBE-GGA.

a b c (Å): 5.539 5.539 3.027
angles (deg): 90.00 90.00 90.00
Positions (direct):
Te 0.000 0.000 0.000
Au 0.000 0.500 0.500
Au 0.500 0.000 0.500
Br 0.500 0.500 0.000

Values from the calculation:
Space-group type: P4/mmm (123)
Formation energy (no corrections), eV/atom: 0.366